# KHoCoSi2O7

An optimized crystal structure of KHoCoSi2O7 (GGA+U, OQMD via LeMat-Bulk).

a = 8.152 Å, b = 9.884 Å, c = 8.343 Å
α = 90.00°, β = 114.60°, γ = 90.00°
Sites, in units of the cell vectors:
K1 0.207 0.000 0.213
K2 0.293 0.500 0.787
K3 0.707 0.500 0.213
K4 0.793 0.000 0.787
Ho1 0.218 0.920 0.720
Ho2 0.282 0.420 0.281
Ho3 0.718 0.420 0.719
Ho4 0.782 0.920 0.280
Co1 0.000 0.225 0.500
Co2 0.000 0.699 0.000
Co3 0.500 0.199 0.000
Co4 0.500 0.725 0.500
Si1 0.107 0.655 0.387
Si2 0.114 0.238 0.882
Si3 0.386 0.738 0.119
Si4 0.392 0.155 0.612
Si5 0.608 0.155 0.388
Si6 0.614 0.738 0.881
Si7 0.886 0.238 0.118
Si8 0.893 0.655 0.613
O1 0.000 0.263 0.000
O2 0.000 0.588 0.500
O3 0.015 0.318 0.300
O4 0.031 0.579 0.196
O5 0.085 0.819 0.391
O6 0.134 0.079 0.850
O7 0.188 0.090 0.522
O8 0.197 0.811 0.991
O9 0.304 0.311 0.010
O10 0.312 0.591 0.477
O11 0.367 0.579 0.152
O12 0.411 0.319 0.606
O13 0.469 0.081 0.804
O14 0.484 0.818 0.700
O15 0.500 0.088 0.500
O16 0.500 0.762 0.000
O17 0.516 0.818 0.300
O18 0.531 0.081 0.196
O19 0.589 0.319 0.394
O20 0.633 0.579 0.848
O21 0.688 0.591 0.523
O22 0.696 0.311 0.990
O23 0.803 0.811 0.009
O24 0.812 0.090 0.478
O25 0.866 0.079 0.150
O26 0.915 0.819 0.609
O27 0.969 0.579 0.804
O28 0.985 0.318 0.700

## Properties
Calculated volume: 12.732 Å³/atom
Size of the total moment: 12.0 μB/cell
Final energy: -7.2097 eV/atom